DFT (PBE) results for an optimized crystal structure of PmSm2Dy4Er.

Computed properties:
Spin magnetization = 3.06 μB per formula unit
DFT formation energy = 3.39 eV per formula unit
Symmetry = No. 15
DOS at the Fermi energy = 17.95 states/eV/f.u.

Unit cell a=9.512 b=9.512 c=11.804 alpha=128.35 beta=128.35 gamma=88.47
Last column: magnetic moment on the atom in μB.
Sites, in units of the cell vectors:
Pm: 0.000 0.500 0.000  0.23
Pm: 0.000 0.500 0.500  0.23
Sm: 0.500 0.000 0.000  0.22
Sm: 0.500 0.000 0.500  0.22
Sm: 0.000 0.000 0.500  0.25
Sm: 0.500 0.500 0.000  0.25
Dy: 0.247 0.754 0.000  0.28
Dy: 0.746 0.253 0.500  0.28
Dy: 0.254 0.747 0.500  0.28
Dy: 0.753 0.246 0.000  0.28
Dy: 0.748 0.749 0.995  0.30
Dy: 0.751 0.752 0.505  0.30
Dy: 0.249 0.248 0.495  0.30
Dy: 0.252 0.251 0.005  0.30
Er: 0.500 0.500 0.500  0.28
Er: 0.000 0.000 0.000  0.28